! Ho2PbN PBE-GGA relaxed; values from VASP
! Space-group type: P4/mmm
! N(E_F) (states/eV/atom): 0.582
! E_form (uncorrected) (eV per atom): -0.4629
! Mass density (g cm⁻³): 11.619
&SYSTEM
  ibrav = 0, nat = 4, ntyp = 3
/
ATOMIC_SPECIES
Ho 164.93 Ho.upf
Pb 207.20 Pb.upf
N 14.01 N.upf
CELL_PARAMETERS angstrom
3.1718 0.0000 0.0000
0.0000 3.1718 0.0000
0.0000 0.0000 7.8286
ATOMIC_POSITIONS angstrom
Ho 0.0000 0.0000 1.4265
Ho 0.0000 0.0000 6.4021
Pb 1.5859 1.5859 3.9143
N 1.5859 1.5859 0.0000

=====

! HoPbN PBE-GGA relaxed; values from VASP
! Space-group type: R-3m
! N(E_F) (states/eV/atom): 0.529
! Polymorph energy (0 for the lowest one) (meV per atom): 0
! E_form (uncorrected) (eV per atom): -0.8687
! Mass density (g cm⁻³): 8.925
&SYSTEM
  ibrav = 0, nat = 6, ntyp = 3
/
ATOMIC_SPECIES
Ho 164.93 Ho.upf
Pb 207.20 Pb.upf
N 14.01 N.upf
CELL_PARAMETERS angstrom
1.9291 1.1137 11.1468
-1.9291 1.1137 11.1468
0.0000 -2.2275 11.1468
ATOMIC_POSITIONS angstrom
Ho 0.0000 0.0000 4.3274
Ho 0.0000 0.0000 29.1129
Pb 0.0000 0.0000 12.3889
Pb 0.0000 0.0000 21.0514
N 0.0000 0.0000 6.6120
N 0.0000 0.0000 26.8284

=====

! Ho5Pb4N PBE-GGA relaxed; values from VASP
! Space-group type: I4
! N(E_F) (states/eV/atom): 0.611
! E_form (uncorrected) (eV per atom): -0.5414
! Mass density (g cm⁻³): 10.253
&SYSTEM
  ibrav = 0, nat = 10, ntyp = 3
/
ATOMIC_SPECIES
Ho 164.93 Ho.upf
Pb 207.20 Pb.upf
N 14.01 N.upf
CELL_PARAMETERS angstrom
-4.6851 4.6851 3.0758
4.6851 -4.6851 3.0758
4.6851 4.6851 -3.0758
ATOMIC_POSITIONS angstrom
Ho 0.0000 0.0000 0.0000
Ho 5.7228 2.5474 0.3954
Ho 2.5474 3.6473 0.3954
Ho 2.1377 1.0377 3.4711
Ho -1.0377 2.1377 3.4711
Pb 6.2613 -0.5765 0.4351
Pb 3.1089 0.5765 0.4351
Pb -0.5765 3.1089 0.4351
Pb 0.5765 6.2613 0.4351
N 0.0000 0.0000 3.8260

=====

! HoPbN PBE-GGA relaxed; values from VASP
! Space-group type: I4mm
! N(E_F) (states/eV/atom): 0.350
! Polymorph energy (0 for the lowest one) (meV per atom): 150
! E_form (uncorrected) (eV per atom): -0.7189
! Mass density (g cm⁻³): 9.530
&SYSTEM
  ibrav = 0, nat = 6, ntyp = 3
/
ATOMIC_SPECIES
Ho 164.93 Ho.upf
Pb 207.20 Pb.upf
N 14.01 N.upf
CELL_PARAMETERS angstrom
3.3471 0.0000 0.0000
0.0000 3.3471 0.0000
0.0000 0.0000 12.0111
ATOMIC_POSITIONS angstrom
Ho 0.0000 0.0000 0.0000
Ho 1.6735 1.6735 6.0055
Pb 0.0000 0.0000 3.4544
Pb 1.6735 1.6735 9.4599
N 0.0000 0.0000 5.9417
N 1.6735 1.6735 11.9472

=====

! Ho3Pb2N PBE-GGA relaxed; values from VASP
! Space-group type: C2/c
! N(E_F) (states/eV/atom): 0.486
! E_form (uncorrected) (eV per atom): -0.7560
! Mass density (g cm⁻³): 10.071
&SYSTEM
  ibrav = 0, nat = 12, ntyp = 3
/
ATOMIC_SPECIES
Ho 164.93 Ho.upf
Pb 207.20 Pb.upf
N 14.01 N.upf
CELL_PARAMETERS angstrom
7.0835 -3.2458 0.0000
7.0835 3.2458 0.0000
-1.4392 0.0000 6.6206
ATOMIC_POSITIONS angstrom
Ho 6.0041 2.6732 4.9655
Ho 4.8897 0.3934 2.6706
Ho 4.1701 -0.3934 5.9809
Ho 8.5577 0.3934 0.6397
Ho 7.8381 -0.3934 3.9500
Ho 6.7237 -2.6732 1.6552
Pb 2.5247 0.4189 0.4730
Pb 1.8051 -0.4189 3.7833
Pb 10.9227 0.4189 2.8373
Pb 10.2031 -0.4189 6.1476
N 6.0041 0.4242 4.9655
N 6.7237 -0.4242 1.6552

=====

! Ho3PbSN PBE-GGA relaxed; values from VASP
! Space-group type: P2_1/m
! N(E_F) (states/eV/atom): 0.272
! E_form (uncorrected) (eV per atom): -1.2703
! Mass density (g cm⁻³): 8.138
&SYSTEM
  ibrav = 0, nat = 12, ntyp = 4
/
ATOMIC_SPECIES
Ho 164.93 Ho.upf
Pb 207.20 Pb.upf
S 32.06 S.upf
N 14.01 N.upf
CELL_PARAMETERS angstrom
8.7378 0.0000 0.0000
0.0000 3.9275 0.0000
-2.2045 0.0000 8.8954
ATOMIC_POSITIONS angstrom
Ho -0.1907 0.9819 3.0336
Ho 0.8268 0.9819 8.7833
Ho 1.9075 2.9456 5.8339
Ho 4.6258 0.9819 3.0616
Ho 5.7065 2.9456 0.1121
Ho 6.7240 2.9456 5.8618
Pb 2.1215 2.9456 2.5161
Pb 4.4118 0.9819 6.3793
S -0.1135 0.9819 5.7446
S 6.6468 2.9456 3.1509
N 1.5578 2.9456 7.9473
N 4.9755 0.9819 0.9482

=====

! Ho2Sc2Pb2N PBE-GGA relaxed; values from VASP
! Space-group type: I4/mmm
! N(E_F) (states/eV/atom): 0.820
! E_form (uncorrected) (eV per atom): -0.9420
! Mass density (g cm⁻³): 8.795
&SYSTEM
  ibrav = 0, nat = 14, ntyp = 4
/
ATOMIC_SPECIES
Ho 164.93 Ho.upf
Sc 44.96 Sc.upf
Pb 207.20 Pb.upf
N 14.01 N.upf
CELL_PARAMETERS angstrom
4.4947 0.0000 0.0000
0.0000 4.4947 0.0000
0.0000 0.0000 15.8534
ATOMIC_POSITIONS angstrom
Ho 0.0000 0.0000 2.4790
Ho 0.0000 0.0000 13.3744
Ho 2.2474 2.2474 5.4477
Ho 2.2474 2.2474 10.4057
Sc 0.0000 2.2474 0.0000
Sc 0.0000 2.2474 7.9267
Sc 2.2474 0.0000 0.0000
Sc 2.2474 0.0000 7.9267
Pb 0.0000 0.0000 5.7096
Pb 0.0000 0.0000 10.1438
Pb 2.2474 2.2474 2.2171
Pb 2.2474 2.2474 13.6363
N 0.0000 0.0000 0.0000
N 2.2474 2.2474 7.9267

=====

! Ho4SnPbN PBE-GGA relaxed; values from VASP
! Space-group type: Cmcm
! N(E_F) (states/eV/atom): 0.599
! E_form (uncorrected) (eV per atom): -0.9158
! Mass density (g cm⁻³): 9.423
&SYSTEM
  ibrav = 0, nat = 14, ntyp = 4
/
ATOMIC_SPECIES
Ho 164.93 Ho.upf
Sn 118.71 Sn.upf
Pb 207.20 Pb.upf
N 14.01 N.upf
CELL_PARAMETERS angstrom
3.3241 -7.9748 0.0000
3.3241 7.9748 0.0000
0.0000 0.0000 6.6453
ATOMIC_POSITIONS angstrom
Ho 1.6621 3.9874 0.0000
Ho 1.6621 3.9874 3.3227
Ho 3.3241 6.5196 4.9840
Ho 3.3241 1.4926 4.9840
Ho 1.6621 -3.9874 0.0000
Ho 1.6621 -3.9874 3.3227
Ho 3.3241 -1.4926 1.6613
Ho 3.3241 -6.5196 1.6613
Sn 3.3241 6.2545 1.6613
Sn 3.3241 -6.2545 4.9840
Pb 3.3241 1.6737 1.6613
Pb 3.3241 -1.6737 4.9840
N 3.3241 3.9779 4.9840
N 3.3241 -3.9779 1.6613

=====

! Ho2Th4Pb3N2 PBE-GGA relaxed; values from VASP
! Space-group type: I4/mmm
! N(E_F) (states/eV/atom): 0.602
! E_form (uncorrected) (eV per atom): -0.7315
! Mass density (g cm⁻³): 10.429
&SYSTEM
  ibrav = 0, nat = 11, ntyp = 4
/
ATOMIC_SPECIES
Ho 164.93 Ho.upf
Th 232.04 Th.upf
Pb 207.20 Pb.upf
N 14.01 N.upf
CELL_PARAMETERS angstrom
-2.4095 2.4095 13.0804
2.4095 -2.4095 13.0804
2.4095 2.4095 -13.0804
ATOMIC_POSITIONS angstrom
Ho 0.0000 0.0000 5.1073
Ho 0.0000 0.0000 21.0535
Th 2.4095 0.0000 2.2497
Th 2.4095 0.0000 10.8307
Th 0.0000 2.4095 2.2497
Th 0.0000 2.4095 10.8307
Pb 0.0000 0.0000 8.3041
Pb 0.0000 0.0000 13.0804
Pb 0.0000 0.0000 17.8567
N 0.0000 0.0000 2.7978
N 0.0000 0.0000 23.3630

=====

! Ho4TlPbN PBE-GGA relaxed; values from VASP
! Space-group type: Cmcm
! N(E_F) (states/eV/atom): 0.182
! E_form (uncorrected) (eV per atom): -0.7976
! Mass density (g cm⁻³): 10.171
&SYSTEM
  ibrav = 0, nat = 14, ntyp = 4
/
ATOMIC_SPECIES
Ho 164.93 Ho.upf
Tl 204.38 Tl.upf
Pb 207.20 Pb.upf
N 14.01 N.upf
CELL_PARAMETERS angstrom
3.3234 -8.0211 0.0000
3.3234 8.0211 0.0000
0.0000 0.0000 6.6466
ATOMIC_POSITIONS angstrom
Ho 1.6617 4.0105 0.0000
Ho 1.6617 4.0105 3.3233
Ho 3.3234 6.6201 4.9850
Ho 3.3234 1.4800 4.9850
Ho 1.6617 -4.0105 0.0000
Ho 1.6617 -4.0105 3.3233
Ho 3.3234 -1.4800 1.6617
Ho 3.3234 -6.6201 1.6617
Tl 3.3234 6.2624 1.6617
Tl 3.3234 -6.2624 4.9850
Pb 3.3234 1.7041 1.6617
Pb 3.3234 -1.7041 4.9850
N 3.3234 3.9772 4.9850
N 3.3234 -3.9772 1.6617

=====

! HoTm3Pb2N PBE-GGA relaxed; values from VASP
! Space-group type: Immm
! N(E_F) (states/eV/atom): 0.569
! E_form (uncorrected) (eV per atom): -0.8370
! Mass density (g cm⁻³): 10.438
&SYSTEM
  ibrav = 0, nat = 14, ntyp = 4
/
ATOMIC_SPECIES
Ho 164.93 Ho.upf
Tm 168.93 Tm.upf
Pb 207.20 Pb.upf
N 14.01 N.upf
CELL_PARAMETERS angstrom
4.6799 0.0000 0.0000
0.0000 4.7204 0.0000
0.0000 0.0000 15.8459
ATOMIC_POSITIONS angstrom
Ho 0.0000 0.0000 0.0000
Ho 2.3399 2.3602 7.9229
Tm 0.0000 0.0000 7.9229
Tm 0.0000 2.3602 2.4520
Tm 0.0000 2.3602 13.3939
Tm 2.3399 0.0000 5.4710
Tm 2.3399 0.0000 10.3749
Tm 2.3399 2.3602 0.0000
Pb 0.0000 2.3602 5.6143
Pb 0.0000 2.3602 10.2316
Pb 2.3399 0.0000 2.3087
Pb 2.3399 0.0000 13.5372
N 0.0000 2.3602 0.0000
N 2.3399 0.0000 7.9229

=====

! Ho6Pd2N PBE-GGA relaxed; values from VASP
! Space-group type: P2_1/c
! N(E_F) (states/eV/atom): 0.939
! E_form (uncorrected) (eV per atom): -0.7963
! Mass density (g cm⁻³): 9.462
&SYSTEM
  ibrav = 0, nat = 18, ntyp = 3
/
ATOMIC_SPECIES
Ho 164.93 Ho.upf
Pd 106.42 Pd.upf
N 14.01 N.upf
CELL_PARAMETERS angstrom
6.4795 0.0000 0.0000
0.0000 6.9410 0.0000
-6.3190 0.0000 9.4929
ATOMIC_POSITIONS angstrom
Ho -0.6726 0.1925 2.2917
Ho -3.8321 3.2780 7.0382
Ho 1.1713 4.8454 0.5174
Ho -1.9883 5.5661 5.2639
Ho 1.9898 1.2618 0.5160
Ho -1.1697 2.2087 5.2625
Ho 1.3302 4.7323 4.2304
Ho -1.8293 5.6792 8.9769
Ho 2.1487 1.3749 4.2290
Ho -1.0108 2.0956 8.9755
Ho 3.9926 3.6629 2.4547
Ho 0.8330 6.7485 7.2012
Pd -2.8772 0.5894 7.1301
Pd 0.2823 2.8811 2.3837
Pd -0.1218 4.0599 7.1093
Pd 3.0377 6.3516 2.3628
N 0.0000 0.0000 0.0000
N -3.1595 3.4705 4.7465

=====

Which value of E_form (uncorrected) does entry 5 give? -0.7560 eV per atom

=====

Which value of mass density does entry 5 give? 10.071 g cm⁻³